A geometry-optimized CaScGa2Os structure, computed with PBE-GGA.

Unit cell a=5.129 b=4.763 c=5.129 alpha=90.00 beta=90.00 gamma=90.00
Fractional positions:
Sc: 0.000 0.000 0.000
Ca: 0.500 0.500 0.500
Os: 0.000 0.500 0.000
Ga: 0.000 0.000 0.500
Ga: 0.500 0.000 0.000

DOS at the Fermi energy (states/eV per atom): 1.072

=====

A geometry-optimized CaGaSi2Os structure, computed with PBE-GGA.

Unit cell a=4.612 b=5.648 c=4.612 alpha=90.00 beta=90.00 gamma=90.00
Fractional positions:
Ca: 0.000 0.500 0.000
Os: 0.000 0.000 0.000
Si: 0.000 0.000 0.500
Si: 0.500 0.000 0.000
Ga: 0.500 0.500 0.500

DOS at the Fermi energy (states/eV per atom): 0.769

=====

A geometry-optimized CaGa2SiOs2 structure, computed with PBE-GGA.

Unit cell a=4.469 b=4.469 c=5.674 alpha=90.00 beta=90.00 gamma=90.00
Fractional positions:
Ca: 0.000 0.000 0.500
Ga: 0.500 0.500 0.728
Ga: 0.500 0.500 0.272
Si: 0.000 0.000 0.000
Os: 0.500 0.000 0.000
Os: 0.000 0.500 0.000

DOS at the Fermi energy (states/eV per atom): 0.264

=====

A geometry-optimized CaGaSiOs structure, computed with PBE-GGA.

Unit cell a=4.195 b=4.195 c=5.949 alpha=69.36 beta=69.36 gamma=60.00
Fractional positions:
Ca: 0.815 0.815 0.554
Ga: 0.264 0.264 0.208
Si: 0.010 0.010 0.970
Os: 0.637 0.637 0.089

DOS at the Fermi energy (states/eV per atom): 0.539

=====

A geometry-optimized CaY2GaOs structure, computed with PBE-GGA.

Unit cell a=5.541 b=4.629 c=5.541 alpha=90.00 beta=90.00 gamma=90.00
Fractional positions:
Y: 0.000 0.000 0.500
Y: 0.500 0.000 0.000
Ca: 0.000 0.000 0.000
Os: 0.000 0.500 0.000
Ga: 0.500 0.500 0.500

DOS at the Fermi energy (states/eV per atom): 1.280

=====

A geometry-optimized Ca2GaP2 structure, computed with PBE-GGA.

Unit cell a=4.456 b=6.783 c=7.952 alpha=90.00 beta=106.27 gamma=90.00
Fractional positions:
Ca: 0.976 0.723 0.951
Ca: 0.790 0.404 0.580
Ca: 0.210 0.904 0.420
Ca: 0.024 0.223 0.049
Ga: 0.398 0.073 0.797
Ga: 0.602 0.573 0.203
P: 0.432 0.436 0.863
P: 0.839 0.998 0.678
P: 0.161 0.498 0.322
P: 0.568 0.936 0.137

DOS at the Fermi energy (states/eV per atom): 0.145

=====

A geometry-optimized Ca2GaP structure, computed with PBE-GGA.

Unit cell a=4.092 b=4.092 c=9.664 alpha=77.78 beta=77.78 gamma=60.00
Fractional positions:
P: 0.500 0.500 0.500
Ca: 0.114 0.114 0.658
Ca: 0.886 0.886 0.342
Ga: 0.000 0.000 0.000

DOS at the Fermi energy (states/eV per atom): 0.501

=====

A geometry-optimized Ca2GaP2 structure, computed with PBE-GGA.

Unit cell a=3.554 b=3.554 c=9.230 alpha=78.90 beta=78.90 gamma=90.00
Fractional positions:
P: 0.750 0.250 0.500
P: 0.250 0.750 0.500
Ca: 0.383 0.383 0.235
Ca: 0.617 0.617 0.765
Ga: 0.000 0.000 0.000

DOS at the Fermi energy (states/eV per atom): 0.702

=====

A geometry-optimized Ca3Ga2P4 structure, computed with PBE-GGA.

Unit cell a=4.038 b=6.485 c=15.362 alpha=90.00 beta=90.00 gamma=90.00
Fractional positions:
Ca: 0.000 0.286 0.803
Ca: 0.500 0.786 0.697
Ca: 0.000 0.714 0.197
Ca: 0.500 0.214 0.303
Ca: 0.000 0.000 0.000
Ca: 0.500 0.500 0.500
Ga: 0.000 0.869 0.415
Ga: 0.500 0.369 0.085
Ga: 0.000 0.131 0.585
Ga: 0.500 0.631 0.915
P: 0.500 0.265 0.934
P: 0.500 0.735 0.066
P: 0.000 0.248 0.165
P: 0.000 0.235 0.434
P: 0.500 0.748 0.335
P: 0.000 0.752 0.835
P: 0.000 0.765 0.566
P: 0.500 0.252 0.665

=====

A geometry-optimized Ca5GaP8 structure, computed with PBE-GGA.

Unit cell a=7.607 b=7.607 c=7.607 alpha=109.29 beta=109.29 gamma=109.84
Fractional positions:
Ca: 0.844 0.256 0.888
Ca: 0.744 0.633 0.588
Ca: 0.367 0.955 0.112
Ca: 0.500 0.500 0.000
Ca: 0.045 0.156 0.412
Ga: 0.250 0.750 0.500
P: 0.913 0.733 0.047
P: 0.267 0.314 0.180
P: 0.430 0.685 0.313
P: 0.315 0.628 0.745
P: 0.884 0.570 0.255
P: 0.134 0.087 0.820
P: 0.686 0.866 0.953
P: 0.372 0.116 0.687

DOS at the Fermi energy (states/eV per atom): 0.079

=====

A geometry-optimized Ca2GaP structure, computed with PBE-GGA.

Unit cell a=5.086 b=5.086 c=5.086 alpha=60.00 beta=60.00 gamma=60.00
Fractional positions:
P: 0.000 0.000 0.000
Ca: 0.250 0.250 0.250
Ca: 0.750 0.750 0.750
Ga: 0.500 0.500 0.500

DOS at the Fermi energy (states/eV per atom): 0.684

=====

A geometry-optimized Ca4GaP structure, computed with PBE-GGA.

Unit cell a=7.143 b=7.143 c=8.685 alpha=114.27 beta=114.30 gamma=90.00
Fractional positions:
Ca: 0.375 0.876 0.750
Ca: 0.626 0.624 0.250
Ca: 0.625 0.124 0.250
Ca: 0.374 0.376 0.750
Ca: 0.875 0.875 0.750
Ca: 0.126 0.625 0.250
Ca: 0.125 0.125 0.250
Ca: 0.874 0.375 0.750
Ga: 0.750 0.750 0.000
Ga: 0.250 0.250 0.000
P: 0.500 0.000 0.500
P: 0.000 0.500 0.500

DOS at the Fermi energy (states/eV per atom): 0.545

=====

A geometry-optimized Ca2GaP structure, computed with PBE-GGA.

Unit cell a=7.941 b=7.941 c=6.588 alpha=52.93 beta=52.93 gamma=90.00
Fractional positions:
P: 0.500 0.500 0.000
P: 0.250 0.750 0.500
Ca: 0.589 0.125 0.250
Ca: 0.161 0.625 0.250
Ca: 0.375 0.411 0.750
Ca: 0.875 0.839 0.750
Ga: 0.000 0.000 0.000
Ga: 0.750 0.250 0.500

DOS at the Fermi energy (states/eV per atom): 0.356

=====

A geometry-optimized Ca2GaP2 structure, computed with PBE-GGA.

Unit cell a=7.215 b=7.215 c=4.150 alpha=90.00 beta=90.00 gamma=90.00
Fractional positions:
P: 0.390 0.890 0.000
P: 0.890 0.610 0.000
P: 0.610 0.110 0.000
P: 0.110 0.390 0.000
Ca: 0.183 0.683 0.500
Ca: 0.683 0.817 0.500
Ca: 0.817 0.317 0.500
Ca: 0.317 0.183 0.500
Ga: 0.000 0.000 0.000
Ga: 0.500 0.500 0.000

DOS at the Fermi energy (states/eV per atom): 0.362

=====

A geometry-optimized Ca2Ga2P structure, computed with PBE-GGA.

Unit cell a=7.053 b=7.053 c=4.589 alpha=90.00 beta=90.00 gamma=90.00
Fractional positions:
P: 0.000 0.000 0.000
P: 0.500 0.500 0.000
Ca: 0.174 0.674 0.500
Ca: 0.674 0.826 0.500
Ca: 0.826 0.326 0.500
Ca: 0.326 0.174 0.500
Ga: 0.370 0.870 0.000
Ga: 0.870 0.630 0.000
Ga: 0.630 0.130 0.000
Ga: 0.130 0.370 0.000

DOS at the Fermi energy (states/eV per atom): 0.563

=====

A geometry-optimized Ca3Ga2P4 structure, computed with PBE-GGA.

Unit cell a=8.038 b=8.038 c=6.482 alpha=89.10 beta=89.10 gamma=76.00
Fractional positions:
Ca: 0.995 0.249 0.025
Ca: 0.751 0.005 0.475
Ca: 0.005 0.751 0.975
Ca: 0.249 0.995 0.525
Ca: 0.600 0.400 0.750
Ca: 0.400 0.600 0.250
Ga: 0.176 0.419 0.592
Ga: 0.581 0.824 0.908
Ga: 0.824 0.581 0.408
Ga: 0.419 0.176 0.092
P: 0.941 0.285 0.522
P: 0.715 0.059 0.978
P: 0.059 0.715 0.478
P: 0.285 0.941 0.022
P: 0.258 0.435 0.940
P: 0.565 0.742 0.560
P: 0.742 0.565 0.060
P: 0.435 0.258 0.440

=====

A geometry-optimized Ca3GaP structure, computed with PBE-GGA.

Unit cell a=5.450 b=5.450 c=5.450 alpha=90.00 beta=90.00 gamma=90.00
Fractional positions:
P: 0.000 0.000 0.000
Ca: 0.000 0.500 0.000
Ca: 0.000 0.000 0.500
Ca: 0.500 0.000 0.000
Ga: 0.500 0.500 0.500

DOS at the Fermi energy (states/eV per atom): 0.909

=====

A geometry-optimized Ca2GaP2 structure, computed with PBE-GGA.

Unit cell a=8.277 b=8.277 c=3.336 alpha=90.00 beta=90.00 gamma=90.00
Fractional positions:
P: 0.165 0.665 0.500
P: 0.665 0.835 0.500
P: 0.835 0.335 0.500
P: 0.335 0.165 0.500
Ca: 0.363 0.863 0.000
Ca: 0.863 0.637 0.000
Ca: 0.637 0.137 0.000
Ca: 0.137 0.363 0.000
Ga: 0.000 0.000 0.000
Ga: 0.500 0.500 0.000

DOS at the Fermi energy (states/eV per atom): 0.163

=====

A geometry-optimized CaGa2P structure, computed with PBE-GGA.

Unit cell a=7.725 b=7.725 c=6.170 alpha=51.25 beta=51.25 gamma=90.00
Fractional positions:
P: 0.500 0.500 0.000
P: 0.250 0.750 0.500
Ca: 0.000 0.000 0.000
Ca: 0.750 0.250 0.500
Ga: 0.570 0.125 0.250
Ga: 0.180 0.625 0.250
Ga: 0.375 0.430 0.750
Ga: 0.875 0.820 0.750

DOS at the Fermi energy (states/eV per atom): 0.289

=====

A geometry-optimized Ca3GaP2Pd9 structure, computed with PBE-GGA.

Unit cell a=6.209 b=6.209 c=9.013 alpha=90.00 beta=90.00 gamma=120.00
Fractional positions:
Ca: 0.333 0.667 0.667
Ca: 0.000 0.000 0.000
Ca: 0.667 0.333 0.333
Ga: 0.000 0.000 0.500
P: 0.333 0.667 0.166
P: 0.667 0.333 0.834
Pd: 0.851 0.149 0.714
Pd: 0.851 0.701 0.714
Pd: 0.299 0.149 0.714
Pd: 0.701 0.851 0.286
Pd: 0.149 0.299 0.286
Pd: 0.149 0.851 0.286
Pd: 0.500 0.000 0.000
Pd: 0.000 0.500 0.000
Pd: 0.500 0.500 0.000

DOS at the Fermi energy (states/eV per atom): 0.495

=====

A geometry-optimized Ca3GaP2Pt9 structure, computed with PBE-GGA.

Unit cell a=5.712 b=5.712 c=10.489 alpha=90.00 beta=90.00 gamma=120.00
Fractional positions:
Ca: 0.333 0.667 0.584
Ca: 0.000 0.000 0.000
Ca: 0.667 0.333 0.416
Ga: 0.000 0.000 0.500
P: 0.333 0.667 0.160
P: 0.667 0.333 0.840
Pt: 0.839 0.161 0.691
Pt: 0.839 0.678 0.691
Pt: 0.322 0.161 0.691
Pt: 0.678 0.839 0.309
Pt: 0.161 0.322 0.309
Pt: 0.161 0.839 0.309
Pt: 0.500 0.000 0.000
Pt: 0.000 0.500 0.000
Pt: 0.500 0.500 0.000

DOS at the Fermi energy (states/eV per atom): 0.507

=====

A geometry-optimized Ca2GaP2Rh5 structure, computed with PBE-GGA.

Unit cell a=3.377 b=9.730 c=9.730 alpha=90.00 beta=90.00 gamma=90.00
Fractional positions:
Ca: 0.000 0.674 0.174
Ca: 0.000 0.326 0.826
Ca: 0.000 0.174 0.326
Ca: 0.000 0.826 0.674
Ga: 0.000 0.000 0.000
Ga: 0.000 0.500 0.500
P: 0.000 0.126 0.626
P: 0.000 0.874 0.374
P: 0.000 0.626 0.874
P: 0.000 0.374 0.126
Rh: 0.500 0.214 0.070
Rh: 0.500 0.786 0.930
Rh: 0.500 0.070 0.786
Rh: 0.500 0.714 0.430
Rh: 0.500 0.930 0.214
Rh: 0.500 0.286 0.570
Rh: 0.500 0.570 0.714
Rh: 0.500 0.430 0.286
Rh: 0.500 0.500 0.000
Rh: 0.500 0.000 0.500

DOS at the Fermi energy (states/eV per atom): 0.319

=====

A geometry-optimized CaGa2PRu2 structure, computed with PBE-GGA.

Unit cell a=4.414 b=4.414 c=5.694 alpha=90.00 beta=90.00 gamma=90.00
Fractional positions:
Ca: 0.000 0.000 0.500
Ga: 0.500 0.500 0.725
Ga: 0.500 0.500 0.275
P: 0.000 0.000 0.000
Ru: 0.500 0.000 0.000
Ru: 0.000 0.500 0.000

DOS at the Fermi energy (states/eV per atom): 0.731

=====

It is found that the total DFT energy (no corrections) values, taken in the order of the records, are -4.553 -5.258 -6.078 -5.654 -4.443 -4.391 -3.552 -4.013 -4.628 -4.678 -3.638 -3.346 -3.521 -4.349 -3.508 -4.622 -3.421 -4.089 -3.782 -5.100 -5.654 -6.259 -5.742 eV/atom.
It is found that the density values, taken in the order of the records, are 5.50 4.92 8.62 6.58 5.58 3.05 2.21 3.14 3.17 2.54 3.23 2.40 2.77 3.26 3.65 3.14 2.27 3.08 4.08 6.67 11.25 7.55 6.18 g cm⁻³.